Compound: Na2NiBOs
Source: Alexandria
Functional: GGA-PBE
Structure: optimized geometry

Unit cell a=4.6102 b=4.0815 c=4.6102 alpha=90.00 beta=90.00 gamma=90.00
Last column: magnetic moment on the atom in μB.
Positions (direct):
Ni (0.5000, 0.5000, 0.5000)  0.63
B (0.0000, 0.0000, 0.0000)  -0.04
Os (0.0000, 0.5000, 0.0000)  0.78
Na (0.0000, 0.0000, 0.5000)  -0.01
Na (0.5000, 0.0000, 0.0000)  -0.01

## Properties
Raw total energy = -4.20 eV/atom
SG = No. 123
ΔE_f = 1.07 eV/atom
Total magnetization = 0.2652 μB per atom
Crystal system = tetragonal

Compound: Ce4Te2AsBr
Source: Alexandria
Functional: GGA-PBE
Structure: optimized geometry

Unit cell a=4.3349 b=7.6278 c=7.4944 alpha=70.82 beta=90.00 gamma=90.00
Last column: magnetic moment on the atom in μB.
Positions (direct):
Ce (0.0000, 0.7265, 0.7653)  0.84
Ce (0.0000, 0.2735, 0.2347)  0.84
Ce (0.5000, 0.7306, 0.2487)  0.90
Ce (0.5000, 0.2694, 0.7513)  0.90
Te (0.0000, 0.0000, 0.0000)  -0.02
Te (0.5000, 0.0000, 0.5000)  -0.02
As (0.5000, 0.5000, 0.0000)  -0.03
Br (0.0000, 0.5000, 0.5000)  -0.01

## Properties
Raw total energy = -5.88 eV/atom
SG = No. 10
E_form (uncorrected) = -1.333 eV per atom
Total magnetization = 0.5141 μB per atom
Crystal system = monoclinic

Compound: LaCuTc2P
Source: Alexandria
Functional: GGA-PBE
Structure: optimized geometry

Unit cell a=4.8634 b=5.3216 c=4.8634 alpha=90.00 beta=90.00 gamma=90.00
Last column: magnetic moment on the atom in μB.
Positions (direct):
P (0.0000, 0.5000, 0.0000)  0.06
Tc (0.0000, 0.0000, 0.5000)  1.61
Tc (0.5000, 0.0000, 0.0000)  1.66
Cu (0.5000, 0.5000, 0.5000)  0.03
La (0.0000, 0.0000, 0.0000)  0.02

## Properties
Raw total energy = -4.92 eV/atom
SG = No. 123
ΔE_f = 2.11 eV/atom
Total magnetization = 0.7563 μB per atom
Crystal system = tetragonal

Compound: PdNO2F
Source: Alexandria
Functional: GGA-PBE
Structure: optimized geometry

Unit cell a=4.2672 b=4.2672 c=3.3771 alpha=90.00 beta=90.00 gamma=90.00
Last column: magnetic moment on the atom in μB.
Positions (direct):
N (0.0000, 0.0000, 0.5000)  1.13
O (0.0000, 0.5000, 0.0000)  1.27
O (0.5000, 0.0000, 0.0000)  1.27
Pd (0.5000, 0.5000, 0.5000)  1.18
F (0.0000, 0.0000, 0.0000)  0.32

## Properties
Raw total energy = -3.26 eV/atom
SG = No. 123
E_form (uncorrected) = 1.804 eV per atom
Total magnetization = 1.2023 μB per atom
Crystal system = tetragonal